1.
! Pb2AuBr (PBE, relaxed); values from VASP
! Formation energy from raw total energies = -0.124 eV/atom
! Symmetry = Immm (71)
&SYSTEM
  ibrav = 0, nat = 8, ntyp = 3
/
ATOMIC_SPECIES
Pb 207.20 Pb.upf
Au 196.97 Au.upf
Br 79.90 Br.upf
ATOMIC_POSITIONS crystal
Pb 0.000 0.000 0.230
Pb 0.000 0.000 0.770
Pb 0.500 0.500 0.270
Pb 0.500 0.500 0.730
Au 0.000 0.500 0.500
Au 0.500 0.000 0.000
Br 0.000 0.500 0.000
Br 0.500 0.000 0.500
CELL_PARAMETERS angstrom
4.161 0.000 0.000
0.000 5.871 0.000
0.000 0.000 9.263

***

2.
! Pb2AuBr (PBE, relaxed); values from VASP
! Formation energy from raw total energies = -0.109 eV/atom
! Symmetry = Cmmm (65)
&SYSTEM
  ibrav = 0, nat = 8, ntyp = 3
/
ATOMIC_SPECIES
Pb 207.20 Pb.upf
Au 196.97 Au.upf
Br 79.90 Br.upf
ATOMIC_POSITIONS crystal
Pb 0.250 0.250 0.000
Pb 0.250 0.750 0.000
Pb 0.750 0.250 0.000
Pb 0.750 0.750 0.000
Au 0.000 0.000 0.500
Au 0.500 0.500 0.500
Br 0.000 0.500 0.500
Br 0.500 0.000 0.500
CELL_PARAMETERS angstrom
7.429 0.000 0.000
0.000 8.311 0.000
0.000 0.000 3.489

***

3.
! Pb2AuBr6 (PBE, relaxed); values from VASP
! Formation energy from raw total energies = -0.573 eV/atom
! Symmetry = P4_2/mnm (136)
&SYSTEM
  ibrav = 0, nat = 18, ntyp = 3
/
ATOMIC_SPECIES
Pb 207.20 Pb.upf
Au 196.97 Au.upf
Br 79.90 Br.upf
ATOMIC_POSITIONS crystal
Pb 0.000 0.000 0.162
Pb 0.000 0.000 0.838
Pb 0.500 0.500 0.338
Pb 0.500 0.500 0.662
Au 0.000 0.000 0.500
Au 0.500 0.500 0.000
Br 0.188 0.188 0.357
Br 0.188 0.188 0.643
Br 0.197 0.197 0.000
Br 0.303 0.697 0.500
Br 0.312 0.688 0.143
Br 0.312 0.688 0.857
Br 0.688 0.312 0.143
Br 0.688 0.312 0.857
Br 0.697 0.303 0.500
Br 0.803 0.803 0.000
Br 0.812 0.812 0.357
Br 0.812 0.812 0.643
CELL_PARAMETERS angstrom
7.078 0.000 0.000
0.000 7.078 0.000
0.000 0.000 13.128

***

4.
! PbAu2Br6 (PBE, relaxed); values from VASP
! Formation energy from raw total energies = -0.324 eV/atom
! Symmetry = C2/c (15)
&SYSTEM
  ibrav = 0, nat = 18, ntyp = 3
/
ATOMIC_SPECIES
Pb 207.20 Pb.upf
Au 196.97 Au.upf
Br 79.90 Br.upf
ATOMIC_POSITIONS crystal
Pb 0.094 0.906 0.750
Pb 0.906 0.094 0.250
Au 0.176 0.339 0.459
Au 0.339 0.176 0.959
Au 0.661 0.824 0.041
Au 0.824 0.661 0.541
Br 0.014 0.204 0.658
Br 0.035 0.614 0.765
Br 0.204 0.014 0.158
Br 0.336 0.383 0.202
Br 0.383 0.336 0.702
Br 0.386 0.965 0.735
Br 0.614 0.035 0.265
Br 0.617 0.664 0.298
Br 0.664 0.617 0.798
Br 0.796 0.986 0.842
Br 0.965 0.386 0.235
Br 0.986 0.796 0.342
CELL_PARAMETERS angstrom
6.978 -6.999 0.000
6.978 6.999 0.000
-1.124 0.000 7.080

***

5.
! Pb2AuBr (PBE, relaxed); values from VASP
! Formation energy from raw total energies = 0.115 eV/atom
! Symmetry = F-43m (216)
&SYSTEM
  ibrav = 0, nat = 16, ntyp = 3
/
ATOMIC_SPECIES
Pb 207.20 Pb.upf
Au 196.97 Au.upf
Br 79.90 Br.upf
ATOMIC_POSITIONS crystal
Pb 0.000 0.000 0.000
Pb 0.000 0.500 0.500
Pb 0.250 0.250 0.250
Pb 0.250 0.750 0.750
Pb 0.500 0.000 0.500
Pb 0.500 0.500 0.000
Pb 0.750 0.250 0.750
Pb 0.750 0.750 0.250
Au 0.000 0.000 0.500
Au 0.000 0.500 0.000
Au 0.500 0.000 0.000
Au 0.500 0.500 0.500
Br 0.250 0.250 0.750
Br 0.250 0.750 0.250
Br 0.750 0.250 0.250
Br 0.750 0.750 0.750
CELL_PARAMETERS angstrom
7.577 0.000 0.000
0.000 7.577 0.000
0.000 0.000 7.577

***

6.
! PbAuBr (PBE, relaxed); values from VASP
! Formation energy from raw total energies = -0.266 eV/atom
! Symmetry = P3m1 (156)
&SYSTEM
  ibrav = 0, nat = 3, ntyp = 3
/
ATOMIC_SPECIES
Pb 207.20 Pb.upf
Au 196.97 Au.upf
Br 79.90 Br.upf
ATOMIC_POSITIONS crystal
Pb 0.000 0.000 0.000
Au 0.667 0.333 0.281
Br 0.333 0.667 0.630
CELL_PARAMETERS angstrom
4.273 0.000 0.000
-2.136 3.700 0.000
0.000 0.000 5.602

***

What did the fourth record say?
! PbAu2Br6 (PBE, relaxed); values from VASP
! Formation energy from raw total energies = -0.324 eV/atom
! Symmetry = C2/c (15)
&SYSTEM
  ibrav = 0, nat = 18, ntyp = 3
/
ATOMIC_SPECIES
Pb 207.20 Pb.upf
Au 196.97 Au.upf
Br 79.90 Br.upf
ATOMIC_POSITIONS crystal
Pb 0.094 0.906 0.750
Pb 0.906 0.094 0.250
Au 0.176 0.339 0.459
Au 0.339 0.176 0.959
Au 0.661 0.824 0.041
Au 0.824 0.661 0.541
Br 0.014 0.204 0.658
Br 0.035 0.614 0.765
Br 0.204 0.014 0.158
Br 0.336 0.383 0.202
Br 0.383 0.336 0.702
Br 0.386 0.965 0.735
Br 0.614 0.035 0.265
Br 0.617 0.664 0.298
Br 0.664 0.617 0.798
Br 0.796 0.986 0.842
Br 0.965 0.386 0.235
Br 0.986 0.796 0.342
CELL_PARAMETERS angstrom
6.978 -6.999 0.000
6.978 6.999 0.000
-1.124 0.000 7.080